! Na2CaV4O12 | Alexandria | GGA+U | relaxed; values from VASP
! * E: -133.6 eV per formula unit
! * symmetry: P4/nbm, No. 125
&SYSTEM
  ibrav = 0, nat = 38, ntyp = 4
/
ATOMIC_SPECIES
Na 22.99 Na.upf
Ca 40.08 Ca.upf
V 50.94 V.upf
O 16.00 O.upf
CELL_PARAMETERS angstrom
10.542 0.000 0.000
0.000 10.542 0.000
0.000 0.000 5.048
ATOMIC_POSITIONS crystal
Na 0.000 0.000 0.000
Na 0.000 0.500 0.000
Na 0.500 0.000 0.000
Na 0.500 0.500 0.000
Ca 0.250 0.250 0.000
Ca 0.750 0.750 0.000
V 0.027 0.750 0.500
V 0.250 0.527 0.500
V 0.250 0.973 0.500
V 0.473 0.750 0.500
V 0.527 0.250 0.500
V 0.750 0.027 0.500
V 0.750 0.473 0.500
V 0.973 0.250 0.500
O 0.061 0.184 0.257
O 0.061 0.316 0.743
O 0.128 0.628 0.647
O 0.128 0.872 0.353
O 0.184 0.061 0.743
O 0.184 0.439 0.257
O 0.316 0.061 0.257
O 0.316 0.439 0.743
O 0.372 0.628 0.353
O 0.372 0.872 0.647
O 0.439 0.184 0.743
O 0.439 0.316 0.257
O 0.561 0.684 0.743
O 0.561 0.816 0.257
O 0.628 0.128 0.353
O 0.628 0.372 0.647
O 0.684 0.561 0.257
O 0.684 0.939 0.743
O 0.816 0.561 0.743
O 0.816 0.939 0.257
O 0.872 0.128 0.647
O 0.872 0.372 0.353
O 0.939 0.684 0.257
O 0.939 0.816 0.743